1.
Material: Sm2HoNi9
Method: DFT, GGA-PBE
State: optimized geometry

```
data_Sm2HoNi9
_chemical_formula_sum 'Sm6 Ho3 Ni27'
_symmetry_space_group_name_H-M 'R -3 m'
_symmetry_Int_Tables_number 166
_symmetry_space_group_name_Hall '-R 3 2"'
_cell_length_a 4.9694
_cell_length_b 4.9694
_cell_length_c 24.5619
_cell_angle_alpha 90.00
_cell_angle_beta 90.00
_cell_angle_gamma 120.00
loop_
_atom_site_label
_atom_site_fract_x
_atom_site_fract_y
_atom_site_fract_z
Sm1 0.0000 0.0000 0.1386
Ho1 0.0000 0.0000 0.0000
Ni1 0.0000 0.0000 0.3329
Ni2 0.0000 0.0000 0.5000
Ni3 0.0002 0.5001 0.0807
```

Calculated values
ΔE_f: -4.5 eV per formula unit
VASP energy: -5.72 eV/atom



2.
Material: SmHoNi4
Method: DFT, GGA-PBE
State: optimized geometry

```
data_SmHoNi4
_chemical_formula_sum 'Sm4 Ho4 Ni16'
_symmetry_space_group_name_H-M 'F -4 3 m'
_symmetry_Int_Tables_number 216
_symmetry_space_group_name_Hall 'F -4 2 3'
_cell_length_a 7.195
_cell_length_b 7.195
_cell_length_c 7.195
_cell_angle_alpha 90.00
_cell_angle_beta 90.00
_cell_angle_gamma 90.00
loop_
_atom_site_label
_atom_site_fract_x
_atom_site_fract_y
_atom_site_fract_z
Sm1 0.000 0.000 0.000
Ho1 0.250 0.250 0.750
Ni1 0.124 0.124 0.376
```

Calculated values
ΔE_f: -2.5 eV per formula unit
VASP energy: -5.68 eV/atom
ΔE to the lowest computed polymorph: 0.0 meV per atom



3.
Material: SmHoNi4
Method: DFT, GGA-PBE
State: optimized geometry

```
data_SmHoNi4
_chemical_formula_sum 'Sm2 Ho2 Ni8'
_symmetry_space_group_name_H-M 'I m m 2'
_symmetry_Int_Tables_number 44
_cell_length_a 4.057
_cell_length_b 6.961
_cell_length_c 7.085
_cell_angle_alpha 90.00
_cell_angle_beta 90.00
_cell_angle_gamma 90.00
loop_
_symmetry_equiv_pos_as_xyz
'x,y,z'
'-x,-y,z'
'-x,y,z'
'x,-y,z'
'x+1/2,y+1/2,z+1/2'
'-x+1/2,-y+1/2,z+1/2'
'-x+1/2,y+1/2,z+1/2'
'x+1/2,-y+1/2,z+1/2'
loop_
_atom_site_label
_atom_site_fract_x
_atom_site_fract_y
_atom_site_fract_z
Sm1 0.000 0.000 0.000
Ho1 0.000 0.500 0.923
Ni1 0.000 0.202 0.622
Ni2 0.000 0.292 0.296
```

Calculated values
ΔE_f: -2.2 eV per formula unit
VASP energy: -5.62 eV/atom
ΔE to the lowest computed polymorph: 56.5 meV per atom



4.
Material: SmHoNi
Method: DFT, GGA-PBE
State: optimized geometry

```
data_SmHoNi
_chemical_formula_sum 'Sm4 Ho4 Ni4'
_symmetry_space_group_name_H-M 'F -4 3 m'
_symmetry_Int_Tables_number 216
_symmetry_space_group_name_Hall 'F -4 2 3'
_cell_length_a 6.716
_cell_length_b 6.716
_cell_length_c 6.716
_cell_angle_alpha 90.00
_cell_angle_beta 90.00
_cell_angle_gamma 90.00
loop_
_atom_site_label
_atom_site_fract_x
_atom_site_fract_y
_atom_site_fract_z
Sm1 0.000 0.000 0.000
Ho1 0.000 0.000 0.500
Ni1 0.250 0.250 0.750
```

Calculated values
ΔE_f: -0.4 eV per formula unit
VASP energy: -5.08 eV/atom
ΔE to the lowest computed polymorph: 0.0 meV per atom



5.
Material: SmHoNi2Sn
Method: DFT, GGA-PBE
State: optimized geometry

```
data_SmHoNi2Sn
_chemical_formula_sum 'Sm2 Ho2 Ni4 Sn2'
_symmetry_space_group_name_H-M 'A m m 2'
_symmetry_Int_Tables_number 38
_cell_length_a 3.692
_cell_length_b 4.006
_cell_length_c 13.988
_cell_angle_alpha 90.00
_cell_angle_beta 90.00
_cell_angle_gamma 90.00
loop_
_symmetry_equiv_pos_as_xyz
'x,y,z'
'-x,-y,z'
'-x,y,z'
'x,-y,z'
'x,y+1/2,z+1/2'
'-x,-y+1/2,z+1/2'
'-x,y+1/2,z+1/2'
'x,-y+1/2,z+1/2'
loop_
_atom_site_label
_atom_site_fract_x
_atom_site_fract_y
_atom_site_fract_z
Sm1 0.000 0.000 0.000
Ho1 0.000 0.000 0.728
Ni1 0.500 0.000 0.168
Ni2 0.500 0.000 0.565
Sn1 0.500 0.000 0.362
```

Calculated values
VASP energy: -5.48 eV/atom



6.
Material: SmHo2Ni4Sn4
Method: DFT, GGA-PBE
State: optimized geometry

```
data_SmHo2Ni4Sn4
_chemical_formula_sum 'Sm2 Ho4 Ni8 Sn8'
_symmetry_space_group_name_H-M 'I m m m'
_symmetry_Int_Tables_number 71
_symmetry_space_group_name_Hall '-I 2 2'
_cell_length_a 4.372
_cell_length_b 7.078
_cell_length_c 14.225
_cell_angle_alpha 90.00
_cell_angle_beta 90.00
_cell_angle_gamma 90.00
loop_
_atom_site_label
_atom_site_fract_x
_atom_site_fract_y
_atom_site_fract_z
Sm1 0.000 0.000 0.000
Ho1 0.000 0.500 0.131
Ni1 0.000 0.308 0.321
Sn1 0.000 0.000 0.218
Sn2 0.000 0.201 0.500
```

Calculated values
VASP energy: -5.30 eV/atom



7.
Material: Sm3Ho3NiTe2
Method: DFT, GGA-PBE
State: optimized geometry

```
data_Sm3Ho3NiTe2
_chemical_formula_sum 'Sm3 Ho3 Ni1 Te2'
_symmetry_space_group_name_H-M 'P -6 2 m'
_symmetry_Int_Tables_number 189
_symmetry_space_group_name_Hall 'P -6 -2'
_cell_length_a 8.5032
_cell_length_b 8.5032
_cell_length_c 3.8726
_cell_angle_alpha 90.00
_cell_angle_beta 90.00
_cell_angle_gamma 120.00
loop_
_atom_site_label
_atom_site_fract_x
_atom_site_fract_y
_atom_site_fract_z
Sm1 0.0000 0.7574 0.0000
Ho1 0.0000 0.4050 0.5000
Ni1 0.0000 0.0000 0.5000
Te1 0.3333 0.6667 0.0000
```

Calculated values
VASP energy: -5.08 eV/atom
ΔE to the lowest computed polymorph: 71.8 meV per atom



8.
Material: Sm3Ho3NiTe2
Method: DFT, GGA-PBE
State: optimized geometry

```
data_Sm3Ho3NiTe2
_chemical_formula_sum 'Sm3 Ho3 Ni1 Te2'
_symmetry_space_group_name_H-M 'P -6 2 m'
_symmetry_Int_Tables_number 189
_symmetry_space_group_name_Hall 'P -6 -2'
_cell_length_a 8.4313
_cell_length_b 8.4313
_cell_length_c 3.9822
_cell_angle_alpha 90.00
_cell_angle_beta 90.00
_cell_angle_gamma 120.00
loop_
_atom_site_label
_atom_site_fract_x
_atom_site_fract_y
_atom_site_fract_z
Sm1 0.0000 0.4047 0.0000
Ho1 0.0000 0.7644 0.5000
Ni1 0.0000 0.0000 0.0000
Te1 0.3333 0.6667 0.5000
```

Calculated values
VASP energy: -5.15 eV/atom
ΔE to the lowest computed polymorph: 0.0 meV per atom



9.
Material: SmHoTlNi2
Method: DFT, GGA-PBE
State: optimized geometry

```
data_SmHoTlNi2
_chemical_formula_sum 'Sm2 Ho2 Tl2 Ni4'
_symmetry_space_group_name_H-M 'A m m 2'
_symmetry_Int_Tables_number 38
_cell_length_a 3.699
_cell_length_b 3.925
_cell_length_c 14.494
_cell_angle_alpha 90.00
_cell_angle_beta 90.00
_cell_angle_gamma 90.00
loop_
_symmetry_equiv_pos_as_xyz
'x,y,z'
'-x,-y,z'
'-x,y,z'
'x,-y,z'
'x,y+1/2,z+1/2'
'-x,-y+1/2,z+1/2'
'-x,y+1/2,z+1/2'
'x,-y+1/2,z+1/2'
loop_
_atom_site_label
_atom_site_fract_x
_atom_site_fract_y
_atom_site_fract_z
Sm1 0.000 0.000 0.000
Ho1 0.000 0.000 0.722
Tl1 0.500 0.000 0.359
Ni1 0.500 0.000 0.163
Ni2 0.500 0.000 0.566
```

Calculated values
VASP energy: -5.01 eV/atom



10.
Material: Ho6Ni2Sn
Method: DFT, GGA-PBE
State: optimized geometry

```
data_Ho6Ni2Sn
_chemical_formula_sum 'Ho24 Ni8 Sn4'
_symmetry_space_group_name_H-M 'I m m m'
_symmetry_Int_Tables_number 71
_symmetry_space_group_name_Hall '-I 2 2'
_cell_length_a 9.237
_cell_length_b 9.640
_cell_length_c 10.080
_cell_angle_alpha 90.00
_cell_angle_beta 90.00
_cell_angle_gamma 90.00
loop_
_atom_site_label
_atom_site_fract_x
_atom_site_fract_y
_atom_site_fract_z
Ho1 0.000 0.204 0.233
Ho2 0.191 0.500 0.176
Ho3 0.209 0.317 0.500
Ni1 0.000 0.352 0.000
Ni2 0.000 0.500 0.377
Sn1 0.000 0.000 0.000
Sn2 0.000 0.000 0.500
```

Calculated values
VASP energy: -5.15 eV/atom



11.
Material: Ho2Ni2Sn
Method: DFT, GGA-PBE
State: optimized geometry

```
data_Ho2Ni2Sn
_chemical_formula_sum 'Ho4 Ni4 Sn2'
_symmetry_space_group_name_H-M 'P 4/m b m'
_symmetry_Int_Tables_number 127
_symmetry_space_group_name_Hall '-P 4 2ab'
_cell_length_a 7.344
_cell_length_b 7.344
_cell_length_c 3.627
_cell_angle_alpha 90.00
_cell_angle_beta 90.00
_cell_angle_gamma 90.00
loop_
_atom_site_label
_atom_site_fract_x
_atom_site_fract_y
_atom_site_fract_z
Ho1 0.173 0.327 0.000
Ni1 0.121 0.621 0.500
Sn1 0.000 0.000 0.500
```

Calculated values
VASP energy: -5.47 eV/atom



12.
Material: YHo2Ni4Sn4
Method: DFT, GGA-PBE
State: optimized geometry

```
data_YHo2Ni4Sn4
_chemical_formula_sum 'Y2 Ho4 Ni8 Sn8'
_symmetry_space_group_name_H-M 'I m m m'
_symmetry_Int_Tables_number 71
_symmetry_space_group_name_Hall '-I 2 2'
_cell_length_a 4.367
_cell_length_b 7.003
_cell_length_c 14.213
_cell_angle_alpha 90.00
_cell_angle_beta 90.00
_cell_angle_gamma 90.00
loop_
_atom_site_label
_atom_site_fract_x
_atom_site_fract_y
_atom_site_fract_z
Y1 0.000 0.000 0.000
Ho1 0.000 0.500 0.131
Ni1 0.000 0.308 0.322
Sn1 0.000 0.000 0.217
Sn2 0.000 0.203 0.500
```

Calculated values
VASP energy: -5.47 eV/atom